18
Lattice="9.320 -4.955 0.000 9.320 4.955 0.000 -0.571 0.000 4.123" Properties=species:S:1:pos:R:3 comment="AlN4Cl4 PBE optimized geometry" m_tot_mub_per_fu=3.4 e_form_raw_ev_per_fu=10.69 pbc="T T T"
Al 0.000 0.000 0.000
Al 9.034 0.000 2.061
N 4.374 2.478 2.061
N 1.190 0.000 3.447
N 9.320 2.992 0.000
N 7.613 0.000 0.876
N 4.374 -2.478 2.061
N 10.456 0.000 3.247
N 9.320 -2.992 0.000
N 16.878 0.000 0.676
Cl 4.660 2.478 0.000
Cl 1.844 0.000 1.969
Cl 9.034 2.491 2.061
Cl 6.944 0.000 3.371
Cl 4.660 -2.478 0.000
Cl 11.124 0.000 0.752
Cl 9.034 -2.491 2.061
Cl 16.224 0.000 2.154